1.
Er2TmAs3 | PBE-GGA | optimized geometry

Output
VASP energy: -36.64 eV per cell
total magnetic moment: 0.00 μB per cell
DFT formation energy: -1.52 eV per atom

Lattice parameters (Å, degrees): 9.113 9.113 9.113 154.16 154.16 36.86
Atoms (fractional coordinates):
Er 0.167 0.167 0.000
Er 0.833 0.833 0.000
Tm 0.500 0.500 0.000
As 0.000 0.000 0.000
As 0.334 0.334 0.000
As 0.666 0.666 0.000

2.
VMoW | PBE-GGA | optimized geometry

Output
polymorph energy (0 for the lowest one): 7 meV/atom
VASP energy: -66.48 eV per cell
total magnetic moment: 0.00 μB per cell
DFT formation energy: -0.11 eV per atom

Lattice parameters (Å, degrees): 4.422 5.160 5.160 50.51 90.00 90.00
Atoms (fractional coordinates):
V 0.000 0.000 0.000
V 0.500 0.164 0.164
Mo 0.500 0.499 0.499
Mo 0.500 0.834 0.834
W 0.000 0.331 0.331
W 0.000 0.665 0.665

3.
Tl2InSnF | PBE-GGA | optimized geometry

Output
polymorph energy (0 for the lowest one): 391 meV/atom
VASP energy: -13.12 eV per cell
total magnetic moment: 0.00 μB per cell

Lattice parameters (Å, degrees): 5.992 5.992 5.550 90.00 90.00 90.00
Atoms (fractional coordinates):
Tl 0.000 0.500 0.000
Tl 0.500 0.000 0.000
In 0.000 0.000 0.000
Sn 0.000 0.000 0.500
F 0.500 0.500 0.500

4.
CaTa2CoAs | PBE-GGA | optimized geometry

Output
VASP energy: -33.94 eV per cell
total magnetic moment: 0.00 μB per cell
DFT formation energy: 0.70 eV per atom

Lattice parameters (Å, degrees): 4.864 4.864 4.450 90.00 90.00 90.00
Atoms (fractional coordinates):
Ca 0.000 0.000 0.000
Ta 0.000 0.500 0.500
Ta 0.500 0.000 0.500
Co 0.500 0.500 0.000
As 0.500 0.500 0.500

> What is the VASP energy in the second record?

-66.48 eV per cell